First-principles (GGA-PBE) data for a relaxed Rb2Y2PtO6 crystal, as listed in the Alexandria database.

Lattice parameters (Å, degrees): 5.8125 5.8125 6.8888 97.52 97.52 119.52
Closest atoms and distances in Å follow each position.
Atoms (fractional coordinates):
1 Rb 0.8367 0.1633 0.0000  6 O 2.86-3.09
2 Rb 0.1633 0.8367 0.0000  6 O 2.86-3.09
3 Y 0.3350 0.6650 0.5000  6 O 2.29-2.31
4 Y 0.6650 0.3350 0.5000  6 O 2.29-2.31
5 Pt 0.0000 0.0000 0.5000  6 O 2.11-2.12
6 O 0.7458 0.7458 0.6674  1 Pt 2.11, 2 Y 2.30
7 O 0.0483 0.3609 0.6652  1 Pt 2.12, 2 Y 2.29-2.31
8 O 0.2542 0.2542 0.3326  1 Pt 2.11, 2 Y 2.30
9 O 0.3609 0.0483 0.6652  1 Pt 2.12, 2 Y 2.29-2.31
10 O 0.9517 0.6391 0.3348  1 Pt 2.12, 2 Y 2.29-2.31
11 O 0.6391 0.9517 0.3348  1 Pt 2.12, 2 Y 2.29-2.31

Properties
Uncorrected formation energy = -2.105 eV per atom
D(E_F) = 0.0 states/eV per cell

First-principles (GGA-PBE) data for a relaxed ScTl2HgSe4 crystal, as listed in the Alexandria database.

Lattice parameters (Å, degrees): 4.0639 7.5720 7.3460 70.75 90.00 90.00
Closest atoms and distances in Å follow each position.
Atoms (fractional coordinates):
1 Sc 0.0000 0.5000 0.5000  6 Se 2.74-2.80
2 Tl 0.0000 0.0000 0.0000  6 Se 3.21-3.29
3 Tl 0.5000 0.0000 0.5000  6 Se 3.06-3.10
4 Hg 0.5000 0.5000 0.0000  6 Se 2.85-3.06
5 Se 0.0000 0.7109 0.7490  1 Sc 2.80, 2 Hg 2.85, 2 Tl 3.10
6 Se 0.0000 0.2892 0.2510  1 Sc 2.80, 2 Hg 2.85, 2 Tl 3.10
7 Se 0.5000 0.7130 0.2884  2 Sc 2.74, 1 Hg 3.06, 1 Tl 3.06
8 Se 0.5000 0.2870 0.7116  2 Sc 2.74, 1 Hg 3.06, 1 Tl 3.06

Properties
Uncorrected formation energy = -0.684 eV per atom
D(E_F) = 2.0 states/eV per cell

First-principles (GGA-PBE) data for a relaxed Ga6AgHg2 crystal, as listed in the Alexandria database.

Lattice parameters (Å, degrees): 5.5183 6.3229 6.6290 90.00 98.45 55.05
Closest atoms and distances in Å follow each position.
Atoms (fractional coordinates):
1 Ga 0.8179 0.8486 0.6426  4 Ga 2.68-2.93, 1 Ag 2.82, 1 Hg 2.95
2 Ga 0.3780 0.8110 0.7152  6 Ga 2.68-2.93, 1 Ag 2.76, 1 Hg 2.87
3 Ga 0.8179 0.3335 0.6426  4 Ga 2.68-2.93, 1 Ag 2.82, 1 Hg 2.95
4 Ga 0.1821 0.1514 0.3574  4 Ga 2.68-2.93, 1 Ag 2.82, 1 Hg 2.95
5 Ga 0.6220 0.1890 0.2848  6 Ga 2.68-2.93, 1 Ag 2.76, 1 Hg 2.87
6 Ga 0.1821 0.6665 0.3574  4 Ga 2.68-2.93, 1 Ag 2.82, 1 Hg 2.95
7 Ag 0.0000 0.0000 0.0000  6 Ga 2.76-2.82, 2 Hg 3.07
8 Hg 0.6863 0.6569 0.1337  3 Ga 2.87-2.95, 1 Ag 3.07
9 Hg 0.3137 0.3431 0.8663  3 Ga 2.87-2.95, 1 Ag 3.07

Properties
D(E_F) = 3.2 states/eV per cell
Formation enthalpy at 0 K = 0.0541 eV per atom

First-principles (GGA-PBE) data for a relaxed SrCePd2 crystal, as listed in the Alexandria database.

Lattice parameters (Å, degrees): 4.0970 4.0970 7.9276 75.02 75.02 60.00
Closest atoms and distances in Å follow each position.
Atoms (fractional coordinates):
1 Sr 0.4970 0.4970 0.5089  6 Pd 3.13-3.24
2 Ce 0.6683 0.6683 0.9950  6 Pd 2.87-2.90
3 Pd 0.0733 0.0733 0.7801  3 Ce 2.87, 3 Sr 3.13
4 Pd 0.2613 0.2613 0.2160  3 Ce 2.90, 3 Sr 3.24

Properties
Distance to the lowest polymorph of the same formula = 0.123 eV per atom
D(E_F) = 6.4 states/eV per cell
Formation enthalpy at 0 K = -0.5115 eV per atom

First-principles (GGA-PBE) data for a relaxed Y5B2Te crystal, as listed in the Alexandria database.

Lattice parameters (Å, degrees): 7.1832 7.1832 8.7129 114.34 114.34 90.00
Closest atoms and distances in Å follow each position.
Atoms (fractional coordinates):
1 Y 0.5315 0.7028 0.7343  2 B 2.68
2 Y 0.7972 0.9685 0.2657  2 B 2.68
3 Y 0.0000 0.0000 0.0000  4 B 3.01, 8 Y 3.28
4 Y 0.5000 0.5000 0.0000  4 B 3.01, 8 Y 3.28
5 Y 0.2028 0.0315 0.7343  2 B 2.68
6 Y 0.7028 0.2028 0.7343  2 B 2.68
7 Y 0.0315 0.5315 0.7343  2 B 2.68
8 Y 0.2972 0.7972 0.2657  2 B 2.68
9 Y 0.9685 0.4685 0.2657  2 B 2.68
10 Y 0.4685 0.2972 0.2657  2 B 2.68
11 B 0.0911 0.4089 0.0000  1 B 1.85
12 B 0.5911 0.0911 0.0000  1 B 1.85
13 B 0.4089 0.9089 0.0000  1 B 1.85
14 B 0.9089 0.5911 0.0000  1 B 1.85
15 Te 0.7500 0.7500 0.5000  8 Y 3.16
16 Te 0.2500 0.2500 0.5000  8 Y 3.16

Properties
Uncorrected formation energy = -0.350 eV per atom
D(E_F) = 18.1 states/eV per cell

First-principles (GGA-PBE) data for a relaxed ScSbRu crystal, as listed in the Alexandria database.

Lattice parameters (Å, degrees): 5.0615 5.0615 5.0615 142.41 134.37 60.55
Closest atoms and distances in Å follow each position.
Atoms (fractional coordinates):
1 Ru 0.9970 0.9970 0.0000  5 Sb 2.90-3.00, 5 Sc 2.92-2.93
2 Sb 0.3401 0.3401 0.0000  5 Sc 2.82-2.99, 5 Ru 2.90-3.00
3 Sc 0.6629 0.6629 0.0000  5 Sb 2.82-2.99, 5 Ru 2.92-2.93

Properties
Uncorrected formation energy = -0.354 eV per atom
D(E_F) = 2.1 states/eV per cell

First-principles (GGA-PBE) data for a relaxed BaPrPu2O8 crystal, as listed in the Alexandria database.

Lattice parameters (Å, degrees): 5.6451 5.6451 6.6883 114.96 114.96 90.00
Closest atoms and distances in Å follow each position.
Atoms (fractional coordinates):
1 Ba 0.0000 0.0000 0.0000  8 O 2.59
2 Pr 0.7500 0.2500 0.5000  8 O 2.48
3 Pu 0.5000 0.5000 0.0000  8 O 2.27
4 Pu 0.2500 0.7500 0.5000  8 O 2.30-2.31
5 O 0.8661 0.8409 0.2564  2 Pu 2.27-2.31, 1 O 2.40, 1 Pr 2.48
6 O 0.3904 0.4155 0.2564  2 Pu 2.27-2.31, 1 O 2.40, 1 Pr 2.48
7 O 0.5836 0.6099 0.7421  2 Pu 2.27-2.30, 1 O 2.40, 1 Pr 2.48
8 O 0.1585 0.1321 0.7421  2 Pu 2.27-2.30, 1 O 2.40, 1 Pr 2.48
9 O 0.8679 0.4164 0.2579  2 Pu 2.27-2.30, 1 O 2.40, 1 Pr 2.48
10 O 0.3901 0.8415 0.2579  2 Pu 2.27-2.30, 1 O 2.40, 1 Pr 2.48
11 O 0.1591 0.6096 0.7436  2 Pu 2.27-2.31, 1 O 2.40, 1 Pr 2.48
12 O 0.5845 0.1339 0.7436  2 Pu 2.27-2.31, 1 O 2.40, 1 Pr 2.48

Properties
Uncorrected formation energy = -2.716 eV per atom
D(E_F) = 11.1 states/eV per cell

First-principles (GGA-PBE) data for a relaxed HfIn5 crystal, as listed in the Alexandria database.

Lattice parameters (Å, degrees): 3.4665 5.4387 8.2940 109.14 90.00 90.00
Closest atoms and distances in Å follow each position.
Atoms (fractional coordinates):
1 Hf 0.0000 0.0000 0.0000  8 In 3.09-3.22
2 In 0.0000 0.6653 0.3305  10 In 3.12-3.47
3 In 0.0000 0.3347 0.6695  10 In 3.12-3.47
4 In 0.5000 0.5000 0.0000  6 In 3.12-3.47, 4 Hf 3.22
5 In 0.5000 0.1635 0.3270  2 Hf 3.09, 6 In 3.19-3.22
6 In 0.5000 0.8365 0.6730  2 Hf 3.09, 6 In 3.19-3.22

Properties
D(E_F) = 2.5 states/eV per cell
Formation enthalpy at 0 K = 0.0674 eV per atom

First-principles (GGA-PBE) data for a relaxed MgNi2Os crystal, as listed in the Alexandria database.

Lattice parameters (Å, degrees): 5.1769 5.1769 5.1769 149.93 130.02 59.44
Closest atoms and distances in Å follow each position.
Atoms (fractional coordinates):
1 Mg 0.7573 0.2573 0.5000  6 Ni 2.57-2.69, 2 Mg 2.69, 2 Os 2.83
2 Ni 0.0170 0.0170 0.0000  4 Ni 2.46-2.69, 4 Os 2.59, 2 Mg 2.69
3 Ni 0.2458 0.7458 0.5000  4 Ni 2.46-2.69, 2 Os 2.50, 4 Mg 2.57
4 Os 0.4799 0.4799 0.0000  6 Ni 2.50-2.59, 2 Os 2.69

Properties
D(E_F) = 5.8 states/eV per cell
Formation enthalpy at 0 K = 0.1045 eV per atom

First-principles (GGA-PBE) data for a relaxed Cs2BaAg2I6 crystal, as listed in the Alexandria database.

Lattice parameters (Å, degrees): 9.0268 8.7349 9.8279 112.58 90.00 121.11
Closest atoms and distances in Å follow each position.
Atoms (fractional coordinates):
1 Cs 0.7129 0.4257 0.1790  5 I 3.83-4.04
2 Cs 0.2871 0.5743 0.8210  5 I 3.83-4.04
3 Ba 0.5000 0.0000 0.5000  6 I 3.42-3.49
4 Ag 0.9549 0.9099 0.7411  3 I 2.76-2.77
5 Ag 0.0451 0.0901 0.2589  3 I 2.76-2.77
6 I 0.7489 0.4979 0.5907  1 Ag 2.76
7 I 0.1961 0.8718 0.1918  1 Ag 2.77
8 I 0.3243 0.1282 0.8082  1 Ag 2.77
9 I 0.8039 0.1282 0.8082  1 Ag 2.77
10 I 0.6757 0.8718 0.1918  1 Ag 2.77
11 I 0.2511 0.5021 0.4093  1 Ag 2.76

Properties
Uncorrected formation energy = -1.113 eV per atom
D(E_F) = 0.0 states/eV per cell

First-principles (GGA-PBE) data for a relaxed Li2ZrCr crystal, as listed in the Alexandria database.

Lattice parameters (Å, degrees): 5.8470 5.8470 4.4596 67.67 67.67 30.38
Closest atoms and distances in Å follow each position.
Atoms (fractional coordinates):
1 Cr 0.2500 0.2500 0.2500  4 Zr 2.71, 4 Li 2.83
2 Li 0.9793 0.9793 0.0208  6 Li 2.74-3.06, 2 Cr 2.83
3 Li 0.5207 0.5207 0.4792  6 Li 2.74-3.06, 2 Cr 2.83
4 Zr 0.7500 0.7500 0.7500  4 Cr 2.71

Properties
Distance to the lowest polymorph of the same formula = 0.035 eV per atom
D(E_F) = 2.7 states/eV per cell
Formation enthalpy at 0 K = 0.3468 eV per atom

First-principles (GGA-PBE) data for a relaxed K2SrPuI6 crystal, as listed in the Alexandria database.

Lattice parameters (Å, degrees): 8.3487 8.9840 12.2247 90.00 90.20 90.00
Closest atoms and distances in Å follow each position.
Atoms (fractional coordinates):
1 K 0.0357 0.9087 0.2495  6 I 3.57-3.80
2 K 0.5357 0.5913 0.7495  6 I 3.57-3.80
3 K 0.9643 0.0913 0.7505  6 I 3.57-3.80
4 K 0.4643 0.4087 0.2505  6 I 3.57-3.80
5 Sr 0.5000 0.0000 0.0000  6 I 3.29-3.30
6 Sr 0.0000 0.5000 0.5000  6 I 3.29-3.30
7 Pu 0.5000 0.0000 0.5000  6 I 3.22-3.24
8 Pu 0.0000 0.5000 0.0000  6 I 3.22-3.24
9 I 0.3138 0.6891 0.0656  1 Pu 3.22, 1 Sr 3.30, 1 K 3.61
10 I 0.8138 0.8109 0.5656  1 Pu 3.22, 1 Sr 3.30, 1 K 3.61
11 I 0.6862 0.3109 0.9344  1 Pu 3.22, 1 Sr 3.30, 1 K 3.61
12 I 0.1862 0.1891 0.4344  1 Pu 3.22, 1 Sr 3.30, 1 K 3.61
13 I 0.3198 0.6940 0.4343  1 Pu 3.23, 1 Sr 3.29, 1 K 3.62
14 I 0.8198 0.8060 0.9343  1 Pu 3.23, 1 Sr 3.29, 1 K 3.62
15 I 0.6802 0.3060 0.5657  1 Pu 3.23, 1 Sr 3.29, 1 K 3.62
16 I 0.1802 0.1940 0.0657  1 Pu 3.23, 1 Sr 3.29, 1 K 3.62
17 I 0.8694 0.5420 0.2469  1 Pu 3.24, 1 Sr 3.30, 2 K 3.57-3.59
18 I 0.3694 0.9580 0.7469  1 Pu 3.24, 1 Sr 3.30, 2 K 3.57-3.59
19 I 0.1306 0.4580 0.7531  1 Pu 3.24, 1 Sr 3.30, 2 K 3.57-3.59
20 I 0.6306 0.0420 0.2531  1 Pu 3.24, 1 Sr 3.30, 2 K 3.57-3.59

Properties
Uncorrected formation energy = -1.386 eV per atom
D(E_F) = 38.2 states/eV per cell

| no. | total DFT energy (no corrections) (eV per atom) | size of the total moment (μB/cell) |
| --- | --- | --- |
| 1 | -6.7103 | 0.00 |
| 2 | -3.8468 | 0.00 |
| 3 | -2.3477 | 0.00 |
| 4 | -5.0119 | 0.57 |
| 5 | -6.4519 | 3.89 |
| 6 | -6.9303 | 0.00 |
| 7 | -8.9686 | 5.00 |
| 8 | -3.8735 | 0.00 |
| 9 | -5.9923 | 0.01 |
| 10 | -2.8069 | 0.00 |
| 11 | -5.1530 | 2.07 |
| 12 | -4.1374 | 12.00 |